Crystalline SiTeAs2 at its relaxed geometry. Source: Alexandria, functional GGA-PBEsol.

For the magnetic moment, the calculation gives 0.0 μB/f.u. The volume comes out at 20.0 A^3/atom. The electronic total energy is -4.418 eV/atom. The value obtained for the uncorrected formation energy is 1.81 eV per formula unit.

CIF file:
```
data_SiTeAs2
_chemical_formula_sum 'Si2 Te2 As4'
_space_group_name_H-M_alt 'C m m 2'
_space_group_IT_number 35
_space_group_name_Hall 'C 2 -2'
_cell_length_a 3.429
_cell_length_b 4.916
_cell_length_c 9.508
_cell_angle_alpha 90.00
_cell_angle_beta 90.00
_cell_angle_gamma 90.00
loop_
_atom_site_label
_atom_site_type_symbol
_atom_site_fract_x
_atom_site_fract_y
_atom_site_fract_z
Si1 Si 0.000 0.000 0.000
Te1 Te 0.000 0.500 0.733
As1 As 0.000 0.000 0.446
As2 As 0.000 0.500 0.213
```